Crystalline GdThTlGa at its relaxed geometry. Source: the Alexandria database, functional PBE-GGA.

Properties
**Electronic total energy**: -7.021 eV per atom
**Energy relative to the elements**: -1.190 eV per formula unit

abc: 5.3420 5.3420 5.3420
angles: 60.00 60.00 60.00
Fractional coordinates of all 4 atoms:
Gd: 0.0000 0.0000 0.0000
Th: 0.5000 0.5000 0.5000
Tl: 0.7500 0.7500 0.7500
Ga: 0.2500 0.2500 0.2500